Here is an optimized crystal structure of CsKTcTe3 from the Open Quantum Materials Database. Energies are from GGA-PBE. Values from VASP.

```
&SYSTEM
  ibrav = 0, nat = 12, ntyp = 4
/
ATOMIC_SPECIES
Cs 132.91 Cs.upf
K 39.10 K.upf
Tc 98.00 Tc.upf
Te 127.60 Te.upf
CELL_PARAMETERS angstrom
10.2889 0.0000 0.0000
0.0000 4.2081 0.0000
-1.3273 0.0000 10.8893
ATOMIC_POSITIONS angstrom
Cs 0.6576 1.0520 3.8478
Cs 8.3040 3.1560 7.0416
K 1.9502 3.1560 10.4495
K 7.0113 1.0520 0.4398
Tc 3.7580 1.0520 7.2540
Tc 5.2036 3.1560 3.6354
Te 1.1593 1.0520 7.7748
Te 3.2003 3.1560 5.5663
Te 4.0754 1.0520 2.2697
Te 4.8862 3.1560 8.6196
Te 5.7613 1.0520 5.3231
Te 7.8023 3.1560 3.1145
```

Calculated values
The value obtained for the total energy is -48.721 eV/cell. Its space group is P2_1/m.